# 1
First-principles (PBE+U) data for a geometry-optimized HgWNF2 structure, as listed in Alexandria via LeMat-Bulk.

```
HgWNF2
1.0
-2.250 -3.505 1.262
3.558 -2.459 -0.488
1.021 0.720 3.820
N Hg W F
1 1 1 2
Direct
0.000 0.000 0.500
0.500 0.500 0.500
0.000 0.000 0.000
0.000 0.500 0.000
0.500 0.000 0.000
```

Values from the calculation:
Magnetization   1.40 μB/f.u.
D(E_F)   1.3 states/eV per cell
DFT total energy   -4.826 eV per atom

---

# 2
First-principles (PBE+U) data for a geometry-optimized HgWNF2 structure, as listed in Alexandria via LeMat-Bulk.

```
HgWNF2
1.0
-1.608 0.939 -4.031
3.911 -1.070 -1.810
-1.322 -4.104 -0.429
N Hg W F
1 1 1 2
Direct
0.000 0.000 0.500
0.000 0.000 0.000
0.500 0.500 0.500
0.000 0.500 0.000
0.500 0.000 0.000
```

Values from the calculation:
Magnetization   3.51 μB/f.u.
D(E_F)   2.5 states/eV per cell
DFT total energy   -3.392 eV per atom

---

Number 1: E above lowest polymorph 0 meV/atom. Number 2: E above lowest polymorph 1435 meV/atom.